A geometry-optimized RbCu2NiF8 structure. Source: the Alexandria database, functional GGA+U.

## Properties
The value obtained for the density is 3.95 Mg/m³. The uncorrected energy comes out at -3.96 eV per atom. The value obtained for the density of states at the Fermi level is 14.8 states/eV per cell.

Cell: 7.801 7.801 7.801 Å, 40.14 40.14 40.14°
Sites, in units of the cell vectors:
Rb 0.000 0.000 0.000
Cu 0.226 0.226 0.226
Cu 0.774 0.774 0.774
Ni 0.500 0.500 0.500
F 0.143 0.776 0.430
F 0.224 0.570 0.857
F 0.311 0.311 0.311
F 0.430 0.143 0.776
F 0.570 0.857 0.224
F 0.689 0.689 0.689
F 0.776 0.430 0.143
F 0.857 0.224 0.570